Here is crystalline SiW2C at its relaxed geometry from OQMD. Energies are from PBE.

Unit cell a=3.1314 b=3.1314 c=12.2907 alpha=90.00 beta=90.00 gamma=120.00
Last column: nearest neighbours and their distance in Å.
Fractional coordinates of all 8 atoms:
Si 0.3333 0.6667 0.2500  6 W 2.63
Si 0.6667 0.3333 0.7500  6 W 2.63
W 0.3333 0.6667 0.5941  3 C 2.15
W 0.3333 0.6667 0.9059  3 C 2.15
W 0.6667 0.3333 0.0941  3 C 2.15
W 0.6667 0.3333 0.4059  3 C 2.15
C 0.0000 0.0000 0.0000  6 W 2.15
C 0.0000 0.0000 0.5000  6 W 2.15

Summary:
- space group = No. 194
- magnetic moment (μB per formula unit) = 0.00
- DFT total energy (Ry/atom) = -0.73838